(1)
First-principles (PBE) data for a geometry-optimized K3ThTe4 structure, as listed in the Alexandria database.

a = 8.275 Å, b = 8.456 Å, c = 10.420 Å
α = 90.00°, β = 90.00°, γ = 111.66°
Fractional positions:
K 0.750 0.000 0.352
K 0.250 0.000 0.648
K 0.750 0.500 0.639
K 0.750 0.500 0.143
K 0.250 0.500 0.361
K 0.250 0.500 0.857
Te 0.934 0.193 0.647
Te 0.516 0.227 0.905
Te 0.434 0.193 0.353
Te 0.016 0.227 0.095
Te 0.984 0.773 0.905
Te 0.566 0.807 0.647
Te 0.484 0.773 0.095
Te 0.066 0.807 0.353
Th 0.750 0.000 0.895
Th 0.250 0.000 0.105

* VASP energy: -63.6 eV for the cell shown
* M_tot: 2.0 μB per cell
* polymorph energy (0 for the lowest one): 0 meV per atom
* E_form (uncorrected): -1.062 eV per atom
* density: 4.213 g/cm³



(2)
First-principles (PBE) data for a geometry-optimized K5ThTe4 structure, as listed in the Alexandria database.

a = 4.836 Å, b = 9.597 Å, c = 10.758 Å
α = 99.94°, β = 102.99°, γ = 90.00°
Fractional positions:
K 0.839 0.672 0.677
K 0.822 0.152 0.644
K 0.178 0.848 0.356
K 0.500 0.500 0.000
K 0.161 0.328 0.323
Th 0.500 0.000 0.000
Te 0.350 0.921 0.701
Te 0.007 0.778 0.014
Te 0.650 0.079 0.299
Te 0.993 0.222 0.986

* VASP energy: -35.4 eV for the cell shown
* M_tot: 0.0 μB per cell
* E_form (uncorrected): -0.989 eV per atom
* density: 3.253 g/cm³



(3)
First-principles (PBE) data for a geometry-optimized KTh2Te6 structure, as listed in the Alexandria database.

a = 12.299 Å, b = 12.299 Å, c = 6.161 Å
α = 90.00°, β = 90.00°, γ = 159.18°
Fractional positions:
K 0.503 0.497 0.500
Th 0.321 0.679 0.500
Th 0.679 0.321 0.000
Te 0.726 0.274 0.500
Te 0.274 0.726 0.000
Te 0.895 0.105 0.250
Te 0.105 0.895 0.247
Te 0.895 0.105 0.750
Te 0.105 0.895 0.753

* VASP energy: -44.9 eV for the cell shown
* M_tot: 0.0 μB per cell
* E_form (uncorrected): -1.126 eV per atom
* density: 6.360 g/cm³



(4)
First-principles (PBE) data for a geometry-optimized K4ThTe4 structure, as listed in the Alexandria database.

a = 8.436 Å, b = 8.436 Å, c = 9.374 Å
α = 116.74°, β = 116.74°, γ = 90.00°
Fractional positions:
K 0.500 0.000 0.000
K 0.000 0.500 0.000
K 0.299 0.299 0.598
K 0.701 0.701 0.402
Th 0.000 0.000 0.000
Te 0.675 0.675 0.762
Te 0.325 0.913 0.238
Te 0.087 0.087 0.762
Te 0.913 0.325 0.238

* VASP energy: -33.6 eV for the cell shown
* M_tot: 0.0 μB per cell
* E_form (uncorrected): -1.027 eV per atom
* density: 2.900 g/cm³



(5)
First-principles (PBE) data for a geometry-optimized KTh4Te8 structure, as listed in the Alexandria database.

a = 8.638 Å, b = 8.638 Å, c = 18.565 Å
α = 90.00°, β = 90.00°, γ = 120.00°
Fractional positions:
K 0.000 0.000 0.000
K 0.000 0.000 0.500
Th 0.497 0.994 0.250
Th 0.503 0.497 0.750
Th 0.994 0.497 0.750
Th 0.006 0.503 0.250
Th 0.497 0.503 0.250
Th 0.503 0.006 0.750
Th 0.000 0.000 0.250
Th 0.000 0.000 0.750
Te 0.167 0.335 0.855
Te 0.665 0.833 0.855
Te 0.167 0.833 0.855
Te 0.833 0.167 0.355
Te 0.335 0.167 0.145
Te 0.833 0.665 0.355
Te 0.335 0.167 0.355
Te 0.167 0.335 0.645
Te 0.167 0.833 0.645
Te 0.833 0.167 0.145
Te 0.667 0.333 0.643
Te 0.333 0.667 0.143
Te 0.333 0.667 0.357
Te 0.667 0.333 0.857
Te 0.665 0.833 0.645
Te 0.833 0.665 0.145

* VASP energy: -140.0 eV for the cell shown
* M_tot: 2.2 μB per cell
* E_form (uncorrected): -1.085 eV per atom
* density: 5.503 g/cm³



(6)
First-principles (PBE) data for a geometry-optimized K3Th2TlTe6 structure, as listed in the Alexandria database.

a = 4.671 Å, b = 10.012 Å, c = 10.812 Å
α = 104.18°, β = 102.47°, γ = 90.00°
Fractional positions:
K 0.500 0.500 0.000
K 0.845 0.162 0.690
K 0.155 0.838 0.310
Th 0.836 0.668 0.672
Th 0.164 0.332 0.328
Tl 0.500 0.000 0.000
Te 0.327 0.874 0.655
Te 0.677 0.559 0.353
Te 0.673 0.126 0.345
Te 0.018 0.259 0.036
Te 0.982 0.741 0.964
Te 0.323 0.441 0.647

* VASP energy: -52.7 eV for the cell shown
* M_tot: 0.0 μB per cell
* E_form (uncorrected): -1.116 eV per atom
* density: 5.391 g/cm³